[1]
Entry from the Alexandria database: an optimized crystal structure of CeSe2 (GGA-PBE).

Output
Its space-group type is R-3m, No. 166. The uncorrected formation energy is -1.55 eV per atom.

Unit cell a=6.649 b=6.649 c=6.649 alpha=37.76 beta=37.76 gamma=37.76
Fractional coordinates of all 3 atoms:
Ce  0.000  0.000  0.000
Se  0.256  0.256  0.256
Se  0.744  0.744  0.744


[2]
Entry from the Alexandria database: an optimized crystal structure of Ce2Se (GGA-PBE).

Output
Its space-group type is I4/mmm, No. 139. The uncorrected formation energy is -0.84 eV per atom.

Unit cell a=5.483 b=5.483 c=5.483 alpha=137.10 beta=137.10 gamma=62.29
Fractional coordinates of all 3 atoms:
Ce  0.139  0.139  0.000
Ce  0.861  0.861  0.000
Se  0.500  0.500  0.000


[3]
Entry from the Alexandria database: an optimized crystal structure of CeSe2 (GGA-PBE).

Output
Its space-group type is Fm-3m, No. 225. The uncorrected formation energy is -1.60 eV per atom.

Unit cell a=4.875 b=4.875 c=4.875 alpha=60.00 beta=60.00 gamma=60.00
Fractional coordinates of all 3 atoms:
Ce  0.000  0.000  0.000
Se  0.250  0.250  0.250
Se  0.750  0.750  0.750


[4]
Entry from the Alexandria database: an optimized crystal structure of Ce3SiSe2 (GGA-PBE).

Output
Its space-group type is Immm, No. 71. The uncorrected formation energy is -1.44 eV per atom.

Unit cell a=7.292 b=7.292 c=7.292 alpha=146.42 beta=131.97 gamma=59.88
Fractional coordinates of all 6 atoms:
Ce  0.000  0.000  0.000
Ce  0.337  0.337  0.000
Ce  0.663  0.663  0.000
Si  0.500  0.000  0.500
Se  0.168  0.668  0.500
Se  0.832  0.332  0.500


[5]
Entry from the Alexandria database: an optimized crystal structure of CeSiSe4 (GGA-PBE).

Output
Its space-group type is I4_1/amd, No. 141. The uncorrected formation energy is -0.93 eV per atom.

Unit cell a=7.698 b=7.698 c=7.698 alpha=105.30 beta=105.30 gamma=118.19
Fractional coordinates of all 12 atoms:
Ce  0.375  0.625  0.750
Ce  0.625  0.375  0.250
Si  0.125  0.875  0.250
Si  0.875  0.125  0.750
Se  0.113  0.682  0.432
Se  0.250  0.318  0.932
Se  0.318  0.250  0.432
Se  0.318  0.887  0.068
Se  0.682  0.113  0.932
Se  0.682  0.750  0.568
Se  0.750  0.682  0.068
Se  0.887  0.318  0.568


[6]
Entry from the Alexandria database: an optimized crystal structure of Ce3SiSe6 (GGA-PBE).

Output
Its space-group type is Cmc2_1, No. 36. The uncorrected formation energy is -1.40 eV per atom.

Unit cell a=8.938 b=8.938 c=7.300 alpha=90.00 beta=90.00 gamma=101.86
Fractional coordinates of all 20 atoms:
Ce  0.106  0.894  0.500
Ce  0.215  0.420  0.587
Ce  0.420  0.215  0.087
Ce  0.580  0.785  0.587
Ce  0.785  0.580  0.087
Ce  0.894  0.106  0.000
Si  0.322  0.678  0.149
Si  0.678  0.322  0.649
Se  0.077  0.595  0.300
Se  0.135  0.189  0.294
Se  0.189  0.135  0.794
Se  0.273  0.727  0.737
Se  0.405  0.923  0.300
Se  0.477  0.523  0.328
Se  0.523  0.477  0.828
Se  0.595  0.077  0.800
Se  0.727  0.273  0.237
Se  0.811  0.865  0.294
Se  0.865  0.811  0.794
Se  0.923  0.405  0.800